Record 1
The following is a PBE-GGA calculation of crystalline NdSmCuPt at its relaxed geometry, from Alexandria via LeMat-Bulk.

extended XYZ file:
```
4
Lattice="0.0000 3.5822 3.5822 3.5822 0.0000 3.5822 3.5822 3.5822 0.0000" Properties=species:S:1:pos:R:3 pbc="T T T"
Nd 0.0000 0.0000 0.0000
Sm 3.5822 3.5822 3.5822
Cu 1.7911 1.7911 1.7911
Pt 5.3733 5.3733 5.3733
```

Space-group type: F-43m
Total magnetic moment: 0.0 μB per cell
Offset from the most stable computed form: 1.40 kcal/mol of atoms
Energy relative to the elements: -0.643 eV per atom

***

Record 2
The following is a PBE-GGA calculation of crystalline NdSmCuPt at its relaxed geometry, from Alexandria via LeMat-Bulk.

extended XYZ file:
```
4
Lattice="4.5143 0.0000 0.0000 0.0000 1.9541 5.4026 0.0000 -1.9541 5.4026" Properties=species:S:1:pos:R:3 pbc="T T T"
Nd 0.0000 0.0000 0.0000
Sm 2.2572 0.0000 2.9859
Cu 2.2572 0.0000 6.0909
Pt 0.0000 0.0000 7.7423
```

Space-group type: Amm2
Total magnetic moment: 0.0 μB per cell
Offset from the most stable computed form: 0.00 kcal/mol of atoms
Energy relative to the elements: -0.704 eV per atom

***

Record 3
The following is a PBE-GGA calculation of crystalline SrNdCuPt at its relaxed geometry, from Alexandria via LeMat-Bulk.

extended XYZ file:
```
4
Lattice="0.0000 3.6431 3.6431 3.6431 0.0000 3.6431 3.6431 3.6431 0.0000" Properties=species:S:1:pos:R:3 pbc="T T T"
Sr 0.0000 0.0000 0.0000
Nd 3.6431 3.6431 3.6431
Cu 5.4647 5.4647 5.4647
Pt 1.8216 1.8216 1.8216
```

Space-group type: F-43m
Total magnetic moment: 0.0 μB per cell
Energy relative to the elements: -0.478 eV per atom

***

Record 4
The following is a PBE-GGA calculation of crystalline NdTmCuPt at its relaxed geometry, from Alexandria via LeMat-Bulk.

extended XYZ file:
```
4
Lattice="0.0000 3.5226 3.5226 3.5226 0.0000 3.5226 3.5226 3.5226 0.0000" Properties=species:S:1:pos:R:3 pbc="T T T"
Nd 0.0000 0.0000 0.0000
Tm 3.5226 3.5226 3.5226
Cu 1.7613 1.7613 1.7613
Pt 5.2840 5.2840 5.2840
```

Space-group type: F-43m
Total magnetic moment: 0.0 μB per cell
Offset from the most stable computed form: 0.97 kcal/mol of atoms
Energy relative to the elements: -0.709 eV per atom

***

Record 5
The following is a PBE-GGA calculation of crystalline NdTmCuPt at its relaxed geometry, from Alexandria via LeMat-Bulk.

extended XYZ file:
```
4
Lattice="4.4105 0.0000 0.0000 0.0000 1.9094 5.3929 0.0000 -1.9094 5.3929" Properties=species:S:1:pos:R:3 pbc="T T T"
Nd 0.0000 0.0000 0.0000
Tm 2.2052 0.0000 7.7948
Cu 2.2052 0.0000 4.6776
Pt 0.0000 0.0000 3.0031
```

Space-group type: Amm2
Total magnetic moment: 0.0 μB per cell
Offset from the most stable computed form: 0.00 kcal/mol of atoms
Energy relative to the elements: -0.751 eV per atom

***

Record 6
The following is a PBE-GGA calculation of crystalline NdYCuPt at its relaxed geometry, from Alexandria via LeMat-Bulk.

extended XYZ file:
```
4
Lattice="0.0000 3.5510 3.5510 3.5510 0.0000 3.5510 3.5510 3.5510 0.0000" Properties=species:S:1:pos:R:3 pbc="T T T"
Nd 0.0000 0.0000 0.0000
Y 3.5510 3.5510 3.5510
Cu 5.3265 5.3265 5.3265
Pt 1.7755 1.7755 1.7755
```

Space-group type: F-43m
Total magnetic moment: 0.0 μB per cell
Offset from the most stable computed form: 1.16 kcal/mol of atoms
Energy relative to the elements: -0.681 eV per atom

***

Record 7
The following is a PBE-GGA calculation of crystalline NdYCuPt at its relaxed geometry, from Alexandria via LeMat-Bulk.

extended XYZ file:
```
4
Lattice="4.4681 0.0000 0.0000 0.0000 1.9304 5.3883 0.0000 -1.9304 5.3883" Properties=species:S:1:pos:R:3 pbc="T T T"
Nd 0.0000 0.0000 0.0000
Y 2.2341 0.0000 2.9893
Cu 2.2341 0.0000 6.0892
Pt 0.0000 0.0000 7.7433
```

Space-group type: Amm2
Total magnetic moment: 0.0 μB per cell
Offset from the most stable computed form: 0.00 kcal/mol of atoms
Energy relative to the elements: -0.732 eV per atom

***

Record 8
The following is a PBE-GGA calculation of crystalline Nd2Zn4CuPt3 at its relaxed geometry, from Alexandria via LeMat-Bulk.

extended XYZ file:
```
10
Lattice="4.0550 0.0000 0.0000 0.0000 4.0550 0.0000 0.0000 0.0000 11.5250" Properties=species:S:1:pos:R:3 pbc="T T T"
Nd 0.0000 2.0275 2.8514
Nd 2.0275 0.0000 8.6736
Zn 0.0000 0.0000 0.0000
Zn 0.0000 2.0275 7.2725
Zn 2.0275 0.0000 4.2524
Zn 2.0275 2.0275 0.0000
Cu 0.0000 0.0000 5.7625
Pt 0.0000 2.0275 9.8466
Pt 2.0275 0.0000 1.6784
Pt 2.0275 2.0275 5.7625
```

Space-group type: P-4m2
Total magnetic moment: 0.0 μB per cell
Energy relative to the elements: -0.654 eV per atom

***

Record 9
The following is a PBE-GGA calculation of crystalline NdZn4CuPt2 at its relaxed geometry, from Alexandria via LeMat-Bulk.

extended XYZ file:
```
8
Lattice="2.1570 1.2454 8.5358 -2.1570 1.2454 8.5358 0.0000 -2.4907 8.5358" Properties=species:S:1:pos:R:3 pbc="T T T"
Nd 0.0000 0.0000 0.0000
Zn 0.0000 0.0000 3.3805
Zn 0.0000 0.0000 10.3041
Zn 0.0000 0.0000 15.3034
Zn 0.0000 0.0000 22.2270
Cu 0.0000 0.0000 12.8038
Pt 0.0000 0.0000 6.0386
Pt 0.0000 0.0000 19.5689
```

Space-group type: R-3m
Total magnetic moment: 0.0 μB per cell
Energy relative to the elements: -0.452 eV per atom

***

Record 10
The following is a PBE-GGA calculation of crystalline NdZn2CuPt4 at its relaxed geometry, from Alexandria via LeMat-Bulk.

extended XYZ file:
```
8
Lattice="2.1698 1.2527 8.4736 -2.1698 1.2527 8.4736 0.0000 -2.5055 8.4736" Properties=species:S:1:pos:R:3 pbc="T T T"
Nd 0.0000 0.0000 0.0000
Zn 0.0000 0.0000 6.0501
Zn 0.0000 0.0000 19.3708
Cu 0.0000 0.0000 12.7104
Pt 0.0000 0.0000 3.2867
Pt 0.0000 0.0000 10.1951
Pt 0.0000 0.0000 15.2258
Pt 0.0000 0.0000 22.1342
```

Space-group type: R-3m
Total magnetic moment: 0.0 μB per cell
Energy relative to the elements: -0.579 eV per atom

***

Record 11
The following is a PBE-GGA calculation of crystalline Nd2Zn12Cu3Pt at its relaxed geometry, from Alexandria via LeMat-Bulk.

extended XYZ file:
```
18
Lattice="2.9280 1.6905 10.9627 -2.9280 1.6905 10.9627 0.0000 -3.3809 10.9627" Properties=species:S:1:pos:R:3 pbc="T T T"
Nd 0.0000 0.0000 4.6266
Nd 0.0000 0.0000 28.2615
Zn 0.0000 -1.8856 9.2836
Zn -1.6330 0.9428 9.2836
Zn -1.4776 -0.8531 14.5040
Zn -1.6330 -0.9428 23.6045
Zn 0.0000 -1.7062 18.3840
Zn -1.4776 0.8531 18.3840
Zn 1.4776 -0.8531 14.5041
Zn 0.0000 1.7062 14.5041
Zn 1.6330 0.9428 9.2836
Zn 1.4776 0.8531 18.3840
Zn 1.6330 -0.9428 23.6045
Zn 0.0000 1.8856 23.6045
Cu -1.4640 -0.8452 10.9627
Cu -1.4640 0.8452 21.9254
Cu 0.0000 1.6905 10.9627
Pt 0.0000 0.0000 16.4440
```

Space-group type: R-3m
Total magnetic moment: 0.0 μB per cell
Energy relative to the elements: -0.090 eV per atom

***

Record 12
The following is a PBE-GGA calculation of crystalline Nd2ZnCu2Pt5 at its relaxed geometry, from Alexandria via LeMat-Bulk.

extended XYZ file:
```
20
Lattice="9.4909 0.0000 0.0000 0.0000 9.4909 0.0000 0.0000 0.0000 3.9188" Properties=species:S:1:pos:R:3 pbc="T T T"
Nd 1.6821 3.0634 0.0000
Nd 3.0634 7.8089 0.0000
Nd 6.4276 1.6821 0.0000
Nd 7.8089 6.4276 0.0000
Zn 0.0000 0.0000 0.0000
Zn 4.7455 4.7455 0.0000
Cu 1.1508 5.8963 0.0000
Cu 3.5947 1.1508 0.0000
Cu 5.8963 8.3401 0.0000
Cu 8.3401 3.5947 0.0000
Pt 0.0000 4.7455 1.9594
Pt 0.6183 7.5529 1.9594
Pt 1.9380 0.6183 1.9594
Pt 2.8075 5.3638 1.9594
Pt 4.1271 2.8075 1.9594
Pt 4.7455 0.0000 1.9594
Pt 5.3638 6.6835 1.9594
Pt 6.6835 4.1271 1.9594
Pt 7.5529 8.8726 1.9594
Pt 8.8726 1.9380 1.9594
```

Space-group type: P4/mbm
Total magnetic moment: 0.0 μB per cell
Energy relative to the elements: -0.721 eV per atom

***

Record 13
The following is a PBE-GGA calculation of crystalline NdZnCuPt3 at its relaxed geometry, from Alexandria via LeMat-Bulk.

extended XYZ file:
```
12
Lattice="3.1933 -6.0835 0.0000 3.1933 6.0835 0.0000 0.0000 0.0000 5.7486" Properties=species:S:1:pos:R:3 pbc="T T T"
Nd 3.1933 3.6499 4.3114
Nd 3.1933 -3.6499 1.4371
Zn 3.1933 4.3569 1.4371
Zn 3.1933 -4.3569 4.3114
Cu 3.1933 0.8771 4.3114
Cu 3.1933 -0.8771 1.4371
Pt 1.3524 0.0000 0.0000
Pt 1.3524 0.0000 2.8743
Pt 3.1933 1.8758 1.4371
Pt 3.1933 -1.8758 4.3114
Pt 5.0341 0.0000 0.0000
Pt 5.0341 0.0000 2.8743
```

Space-group type: Cmcm
Total magnetic moment: 0.0 μB per cell
Energy relative to the elements: -0.465 eV per atom

***

Record 14
The following is a PBE-GGA calculation of crystalline Nd2Zn3CuPt4 at its relaxed geometry, from Alexandria via LeMat-Bulk.

extended XYZ file:
```
10
Lattice="4.1374 0.0000 0.0000 0.0000 4.1374 0.0000 0.0000 0.0000 11.0618" Properties=species:S:1:pos:R:3 pbc="T T T"
Nd 0.0000 2.0687 2.7337
Nd 2.0687 0.0000 8.3281
Zn 0.0000 2.0687 9.5855
Zn 2.0687 0.0000 1.4762
Zn 2.0687 2.0687 5.5309
Cu 0.0000 0.0000 5.5309
Pt 0.0000 0.0000 0.0000
Pt 0.0000 2.0687 7.0927
Pt 2.0687 0.0000 3.9691
Pt 2.0687 2.0687 0.0000
```

Space-group type: P-4m2
Total magnetic moment: 0.0 μB per cell
Energy relative to the elements: -0.726 eV per atom

***

Record 15
The following is a PBE-GGA calculation of crystalline NdPuCu at its relaxed geometry, from Alexandria via LeMat-Bulk.

extended XYZ file:
```
3
Lattice="4.9242 0.0000 0.0000 -2.4621 4.2645 0.0000 0.0000 0.0000 3.4747" Properties=species:S:1:pos:R:3 pbc="T T T"
Nd 0.0000 0.0000 0.0000
Pu 2.4621 1.4215 2.0216
Cu 0.0000 2.8430 1.2170
```

Space-group type: P3m1
Total magnetic moment: 6.0 μB per cell
Offset from the most stable computed form: 2.79 kcal/mol of atoms
Energy relative to the elements: 0.211 eV per atom

***

Record 16
The following is a PBE-GGA calculation of crystalline NdPuCu at its relaxed geometry, from Alexandria via LeMat-Bulk.

extended XYZ file:
```
6
Lattice="5.8747 0.0000 0.0000 0.0000 3.8505 0.0000 -0.8762 0.0000 5.9490" Properties=species:S:1:pos:R:3 pbc="T T T"
Nd 0.2817 0.9626 1.5576
Nd 4.7168 2.8878 4.3914
Pu 1.7743 0.9626 5.3703
Pu 3.2241 2.8878 0.5787
Cu 1.7985 2.8878 3.3216
Cu 3.2000 0.9626 2.6274
```

Space-group type: P2_1/m
Total magnetic moment: 0.0 μB per cell
Offset from the most stable computed form: 0.96 kcal/mol of atoms
Energy relative to the elements: 0.132 eV per atom

***

Record 17
The following is a PBE-GGA calculation of crystalline NdPuCu at its relaxed geometry, from Alexandria via LeMat-Bulk.

extended XYZ file:
```
3
Lattice="-1.7625 1.7625 6.0901 1.7625 -1.7625 6.0901 1.7625 1.7625 -6.0901" Properties=species:S:1:pos:R:3 pbc="T T T"
Nd 0.0000 0.0000 0.0000
Pu 0.0000 0.0000 8.7198
Cu 0.0000 0.0000 4.3202
```

Space-group type: I4mm
Total magnetic moment: 6.2 μB per cell
Offset from the most stable computed form: 0.00 kcal/mol of atoms
Energy relative to the elements: 0.090 eV per atom

***

Record 18
The following is a PBE-GGA calculation of crystalline NdPuCu10 at its relaxed geometry, from Alexandria via LeMat-Bulk.

extended XYZ file:
```
12
Lattice="4.0765 0.0000 0.0000 0.0000 5.1266 0.0000 0.0000 0.0000 8.8324" Properties=species:S:1:pos:R:3 pbc="T T T"
Nd 0.0000 0.0000 0.0000
Pu 0.0000 2.5633 4.4162
Cu 0.0000 0.0000 2.9624
Cu 0.0000 0.0000 5.8699
Cu 0.0000 2.5633 1.4865
Cu 0.0000 2.5633 7.3459
Cu 2.0382 0.0000 4.4162
Cu 2.0382 1.2845 2.2210
Cu 2.0382 1.2845 6.6113
Cu 2.0382 2.5633 0.0000
Cu 2.0382 3.8421 2.2210
Cu 2.0382 3.8421 6.6113
```

Space-group type: Pmmm
Total magnetic moment: 6.1 μB per cell
Energy relative to the elements: -0.089 eV per atom

***

Record 19
The following is a PBE-GGA calculation of crystalline NdPuCu2 at its relaxed geometry, from Alexandria via LeMat-Bulk.

extended XYZ file:
```
4
Lattice="3.4953 0.0000 0.0000 0.0000 3.4953 0.0000 0.0000 0.0000 7.1805" Properties=species:S:1:pos:R:3 pbc="T T T"
Nd 0.0000 0.0000 0.0000
Pu 0.0000 0.0000 3.5902
Cu 1.7476 1.7476 1.8411
Cu 1.7476 1.7476 5.3394
```

Space-group type: P4/mmm
Total magnetic moment: 5.5 μB per cell
Offset from the most stable computed form: 0.00 kcal/mol of atoms
Energy relative to the elements: 0.004 eV per atom

***

Record 20
The following is a PBE-GGA calculation of crystalline NdPuCu2 at its relaxed geometry, from Alexandria via LeMat-Bulk.

extended XYZ file:
```
4
Lattice="0.0000 3.5391 3.5391 3.5391 0.0000 3.5391 3.5391 3.5391 0.0000" Properties=species:S:1:pos:R:3 pbc="T T T"
Nd 0.0000 0.0000 0.0000
Pu 3.5391 3.5391 3.5391
Cu 1.7695 1.7695 1.7695
Cu 5.3086 5.3086 5.3086
```

Space-group type: Fm-3m
Total magnetic moment: 5.8 μB per cell
Offset from the most stable computed form: 0.67 kcal/mol of atoms
Energy relative to the elements: 0.033 eV per atom

***

Record 21
The following is a PBE-GGA calculation of crystalline NdPu2Cu9 at its relaxed geometry, from Alexandria via LeMat-Bulk.

extended XYZ file:
```
12
Lattice="2.5848 1.4924 8.3933 -2.5848 1.4924 8.3933 0.0000 -2.9847 8.3933" Properties=species:S:1:pos:R:3 pbc="T T T"
Nd 0.0000 0.0000 0.0000
Pu 0.0000 0.0000 3.7267
Pu 0.0000 0.0000 21.4532
Cu -1.2770 -0.7373 10.4387
Cu 0.0000 0.0000 8.3507
Cu 0.0000 -1.4746 14.7412
Cu -1.2770 0.7373 14.7412
Cu 0.0000 0.0000 12.5899
Cu 1.2770 -0.7373 10.4387
Cu 0.0000 1.4746 10.4387
Cu 0.0000 0.0000 16.8291
Cu 1.2770 0.7373 14.7412
```

Space-group type: R-3m
Total magnetic moment: 11.7 μB per cell
Energy relative to the elements: -0.092 eV per atom

***

Record 22
The following is a PBE-GGA calculation of crystalline NdPuCuRh at its relaxed geometry, from Alexandria via LeMat-Bulk.

extended XYZ file:
```
4
Lattice="0.0000 3.5130 3.5130 3.5130 0.0000 3.5130 3.5130 3.5130 0.0000" Properties=species:S:1:pos:R:3 pbc="T T T"
Nd 0.0000 0.0000 0.0000
Pu 3.5130 3.5130 3.5130
Cu 1.7565 1.7565 1.7565
Rh 5.2695 5.2695 5.2695
```

Space-group type: F-43m
Total magnetic moment: 5.7 μB per cell
Energy relative to the elements: -0.261 eV per atom

***

Record 23
The following is a PBE-GGA calculation of crystalline Nd2PuCuS5 at its relaxed geometry, from Alexandria via LeMat-Bulk.

extended XYZ file:
```
18
Lattice="1.9672 -8.5132 0.0000 1.9672 8.5132 0.0000 0.0000 0.0000 11.5942" Properties=species:S:1:pos:R:3 pbc="T T T"
Nd 1.9672 6.6767 5.7971
Nd 1.9672 6.4607 1.4441
Nd 1.9672 -6.4607 7.2412
Nd 1.9672 -6.6767 0.0000
Pu 1.9672 5.1320 9.5537
Pu 1.9672 -5.1320 3.7566
Cu 1.9672 0.9811 3.0864
Cu 1.9672 -0.9811 8.8835
S 1.9672 7.7440 10.0898
S 1.9672 3.5626 5.6626
S 1.9672 3.1282 1.8852
S 1.9672 2.3778 9.4607
S 1.9672 0.0296 6.8397
S 1.9672 -0.0296 1.0426
S 1.9672 -2.3778 3.6636
S 1.9672 -3.1282 7.6823
S 1.9672 -3.5626 11.4597
S 1.9672 -7.7440 4.2927
```

Space-group type: Cmc2_1
Uncorrected formation energy: -1614 meV per atom
Total magnetic moment: 10.0 μB per cell

***

Record 24
The following is a PBE-GGA calculation of crystalline NdPu2CuS5 at its relaxed geometry, from Alexandria via LeMat-Bulk.

extended XYZ file:
```
18
Lattice="1.9288 -8.4405 0.0000 1.9288 8.4405 0.0000 0.0000 0.0000 11.7256" Properties=species:S:1:pos:R:3 pbc="T T T"
Nd 1.9288 5.3699 5.8628
Nd 1.9288 -5.3699 0.0000
Pu 1.9288 6.6509 9.6132
Pu 1.9288 6.5559 1.8972
Pu 1.9288 -6.5559 7.7600
Pu 1.9288 -6.6509 3.7504
Cu 1.9288 0.8338 10.4822
Cu 1.9288 -0.8338 4.6194
S 1.9288 8.2308 5.7077
S 1.9288 3.3163 2.0175
S 1.9288 3.0029 9.6497
S 1.9288 2.5564 5.7392
S 1.9288 0.1115 2.5699
S 1.9288 -0.1115 8.4327
S 1.9288 -2.5564 11.6020
S 1.9288 -3.0029 3.7870
S 1.9288 -3.3163 7.8803
S 1.9288 -8.2308 11.5705
```

Space-group type: Cmc2_1
Uncorrected formation energy: -1493 meV per atom
Total magnetic moment: 20.0 μB per cell